## Li2EuIn (GGA-PBEsol)

Data for Li2EuIn after structural relaxation.

Cell lengths 7.0477, 7.0477, 7.0477 Å; angles 90.00, 90.00, 90.00 degrees
With the nearest neighbours (Å) after each atom.
Space group Fm-3m (No. 225)
Unique sites:
1 Li 0.2500 0.2500 0.2500 x8  4 In 3.05, 4 Eu 3.05
2 Eu 0.0000 0.0000 0.0000 x4  8 Li 3.05
3 In 0.0000 0.0000 0.5000 x4  8 Li 3.05

Calculated values
Volume ... 21.879 Å³ per atom
Theoretical density ... 5.33 Mg/m³
Formation enthalpy at 0 K ... -0.2728 eV per atom